First-principles (PBE-GGA) data for a relaxed structure of TiCrSe2Br, as listed in Alexandria via LeMat-Bulk.

Structure (CIF):
```
data_TiCrSe2Br
_cell_length_a 4.964
_cell_length_b 4.964
_cell_length_c 5.099
_cell_angle_alpha 90.00
_cell_angle_beta 90.00
_cell_angle_gamma 90.00
_symmetry_space_group_name_H-M 'P 4/m m m'
_symmetry_Int_Tables_number 123
_symmetry_space_group_name_Hall '-P 4 2'
loop_
_atom_site_label
_atom_site_type_symbol
_atom_site_fract_x
_atom_site_fract_y
_atom_site_fract_z
Ti1 Ti 0.000 0.000 0.000
Cr1 Cr 0.500 0.500 0.500
Se1 Se 0.000 0.500 0.000
Br1 Br 0.000 0.000 0.500
```

Values from the calculation:
Formation energy without anion corrections = -0.16 eV/atom
Polymorph energy (0 for the lowest one) = 0.0 kJ/mol of atoms
Raw total energy = -27.0 eV per formula unit